7
Lattice="1.789 8.426 -0.070 -1.789 8.426 -0.070 0.000 2.504 6.039" Properties=species:S:1:pos:R:3 comment="FeSi2Se4 PBE-GGA optimized geometry" vol_a3_per_atom=26.104 formation_energy_uncorrected_ev_per_atom=-0.2610 pbc="T T T"
Si 0.000 8.690 3.547
Fe 0.000 0.000 0.000
Se 0.000 15.850 2.634
Si 0.000 10.666 2.351
Se 0.000 3.506 3.264
Se 0.000 10.267 0.124
Se 0.000 9.090 5.774


10
Lattice="-4.901 -1.637 6.763 -4.331 -5.757 -4.533 2.222 -2.469 1.013" Properties=species:S:1:pos:R:3 comment="Y2MgGa2 PBE-GGA optimized geometry" vol_a3_per_atom=25.156 pbc="T T T"
Y -3.728 -1.842 3.690
Ga -5.767 -7.117 1.256
Ga -1.244 -2.747 1.986
Mg -4.616 -3.697 1.115
Y -5.504 -5.552 -1.460
Y -2.244 -2.308 -0.704
Ga -2.608 -5.357 -1.385
Ga -4.402 -4.506 4.627
Y -6.988 -5.086 2.934
Mg 0.000 0.000 0.000


no.,VASP energy (eV per atom)
1,-5.01
2,-4.34